{"formula": "Mo3PbC2", "functional": "PBE", "state": "relaxed", "space_group": "No. 194", "magmom_total_mub_per_fu": 0.01, "final_energy_ev_per_atom": -8.909, "lattice": [[3.1946, 0.0000, 0.0000], [-1.5973, 2.7666, 0.0000], [0.0000, 0.0000, 18.9778]], "species": ["Mo", "Mo", "Mo", "Mo", "Mo", "Mo", "Pb", "Pb", "C", "C", "C", "C"], "fractional_positions": [[0.0000, 0.0000, 0.0000], [0.0000, 0.0000, 0.5000], [0.3333, 0.6667, 0.1207], [0.3333, 0.6667, 0.3793], [0.6667, 0.3333, 0.6207], [0.6667, 0.3333, 0.8793], [0.0000, 0.0000, 0.2500], [0.0000, 0.0000, 0.7500], [0.3333, 0.6667, 0.5686], [0.3333, 0.6667, 0.9314], [0.6667, 0.3333, 0.0686], [0.6667, 0.3333, 0.4314]]}

***

{"formula": "PmZr", "functional": "PBE", "state": "relaxed", "space_group": "No. 11", "magmom_total_mub_per_fu": 0.00, "ef_mev_per_atom": 161.7, "lattice": [[6.8126, 0.0000, 0.0000], [0.0000, 5.5239, 0.0000], [-1.6994, 0.0000, 8.8689]], "species": ["Pm", "Pm", "Pm", "Pm", "Pm", "Pm", "Zr", "Zr", "Zr", "Zr", "Zr", "Zr"], "fractional_positions": [[0.0304, 0.2500, 0.1236], [0.2047, 0.2500, 0.7646], [0.3210, 0.7500, 0.2310], [0.6790, 0.2500, 0.7690], [0.7953, 0.7500, 0.2354], [0.9696, 0.7500, 0.8764], [0.1512, 0.7500, 0.5497], [0.3743, 0.2500, 0.4376], [0.4743, 0.7500, 0.8914], [0.5257, 0.2500, 0.1086], [0.6257, 0.7500, 0.5624], [0.8488, 0.2500, 0.4503]]}

***

{"formula": "Nd3Sn5Pb2", "functional": "PBE", "state": "relaxed", "space_group": "No. 65", "magmom_total_mub_per_fu": 0.00, "final_energy_ev_per_atom": -4.718, "lattice": [[2.2964, -13.0175, 0.0000], [2.2964, 13.0175, 0.0000], [0.0000, 0.0000, 4.7543]], "species": ["Nd", "Nd", "Nd", "Sn", "Sn", "Sn", "Sn", "Sn", "Pb", "Pb"], "fractional_positions": [[0.0000, 0.0000, 0.0000], [0.1871, 0.8129, 0.0000], [0.8129, 0.1871, 0.0000], [0.2897, 0.7103, 0.5000], [0.4050, 0.5950, 0.0000], [0.5000, 0.5000, 0.5000], [0.5950, 0.4050, 0.0000], [0.7103, 0.2897, 0.5000], [0.0967, 0.9033, 0.5000], [0.9033, 0.0967, 0.5000]]}